Ac12Hg3Ru5, optimized geometry, DFT PBE; calculated density = 8.6 g/cm³; volume = 37.1 Å³ per atom; magnetic moment = 0.00 μB/atom; ΔE_f = -0.086 eV/atom; space-group type = Ia-3d (230)
1.0
-9.056 9.056 9.056
9.056 -9.056 9.056
9.056 9.056 -9.056
Ac Hg Ru
48 12 20
Cartesian
2.710 -0.549 1.016 Ac
10.874 5.544 -5.077 Ac
11.766 0.549 1.016 Ac
10.874 -3.512 5.077 Ac
8.507 -1.016 2.710 Ac
14.134 -1.818 3.512 Ac
1.016 2.710 -0.549 Ac
12.568 3.979 -1.818 Ac
5.544 5.077 -1.818 Ac
8.040 2.710 0.549 Ac
-0.549 1.016 2.710 Ac
5.077 -1.818 5.544 Ac
8.507 8.040 -2.710 Ac
5.077 1.818 3.512 Ac
5.544 -5.077 10.874 Ac
8.040 -2.710 8.507 Ac
3.512 5.077 1.818 Ac
10.072 6.346 0.549 Ac
5.077 10.874 -3.512 Ac
8.507 1.016 6.346 Ac
2.710 8.507 -1.016 Ac
10.874 3.512 3.979 Ac
1.818 3.512 5.077 Ac
2.710 0.549 8.040 Ac
6.346 8.507 1.016 Ac
7.238 5.544 3.979 Ac
-1.818 5.544 5.077 Ac
6.346 0.549 10.072 Ac
0.549 8.040 2.710 Ac
3.979 -1.818 12.568 Ac
-1.016 2.710 8.507 Ac
5.544 3.979 7.238 Ac
1.016 11.766 0.549 Ac
3.512 14.134 -1.818 Ac
3.979 7.238 5.544 Ac
0.549 1.016 11.766 Ac
3.979 10.874 3.512 Ac
9.605 8.040 6.346 Ac
1.016 6.346 8.507 Ac
3.512 3.979 10.874 Ac
-3.512 5.077 10.874 Ac
8.040 6.346 9.605 Ac
-5.077 10.874 5.544 Ac
0.549 10.072 6.346 Ac
-1.818 12.568 3.979 Ac
-2.710 8.507 8.040 Ac
-1.818 3.512 14.134 Ac
6.346 9.605 8.040 Ac
4.528 2.264 0.000 Hg
9.056 4.528 -2.264 Hg
2.264 0.000 4.528 Hg
11.320 0.000 4.528 Hg
0.000 4.528 2.264 Hg
4.528 -2.264 9.056 Hg
4.528 11.320 0.000 Hg
9.056 4.528 6.792 Hg
-2.264 9.056 4.528 Hg
6.792 9.056 4.528 Hg
0.000 4.528 11.320 Hg
4.528 6.792 9.056 Hg
0.000 0.000 0.000 Ru
4.528 4.528 -4.528 Ru
4.528 -4.528 4.528 Ru
9.056 0.000 0.000 Ru
13.584 2.264 0.000 Ru
9.056 -4.528 6.792 Ru
6.792 9.056 -4.528 Ru
6.792 0.000 4.528 Ru
4.528 6.792 0.000 Ru
9.056 4.528 2.264 Ru
-4.528 4.528 4.528 Ru
0.000 9.056 0.000 Ru
0.000 0.000 9.056 Ru
4.528 4.528 4.528 Ru
0.000 4.528 6.792 Ru
4.528 2.264 9.056 Ru
2.264 9.056 4.528 Ru
2.264 0.000 13.584 Ru
0.000 13.584 2.264 Ru
-4.528 6.792 9.056 Ru